No. 1
Computed, not measured: crystalline YMgBr2 at its relaxed geometry at the PBE-GGA level of DFT.

abc: 11.228 11.228 11.228
angles: 19.03 19.03 19.03
Atoms (fractional coordinates):
1 Mg 0.250 0.250 0.250
2 Br 0.025 0.025 0.025
3 Y 0.750 0.750 0.750
4 Br 0.475 0.475 0.475

Results
uncorrected formation energy = -0.97 eV/atom
relative energy among the computed polymorphs = 26 meV/atom

No. 2
Computed, not measured: crystalline YMgBr2 at its relaxed geometry at the PBE-GGA level of DFT.

abc: 5.543 5.543 5.543
angles: 128.20 128.20 76.31
Atoms (fractional coordinates):
1 Br 0.000 0.000 0.000
2 Y 0.750 0.250 0.500
3 Mg 0.250 0.750 0.500
4 Br 0.500 0.500 0.000

Results
uncorrected formation energy = -0.67 eV/atom
relative energy among the computed polymorphs = 334 meV/atom

No. 3
Computed, not measured: crystalline Y2MgBr at its relaxed geometry at the PBE-GGA level of DFT.

abc: 4.844 4.842 4.842
angles: 90.00 90.00 90.00
Atoms (fractional coordinates):
1 Y 0.000 0.500 0.500
2 Y 0.000 0.000 0.000
3 Br 0.500 0.500 0.000
4 Mg 0.500 0.000 0.500

Results
uncorrected formation energy = -0.08 eV/atom
relative energy among the computed polymorphs = 435 meV/atom